Material: BeFeCl2
Method: DFT, PBE
State: optimized geometry

Results
- DFT total energy: -14.53 eV per cell

abc: 3.0586 3.7042 5.9511
angles: 90.00 90.00 90.00
Last column: nearest neighbours and their distance in Å.
Element x y z (fractional)
1 Be 0.0000 0.0000 0.0000  4 Cl 2.40
2 Fe 0.5000 0.0000 0.5000  4 Cl 2.40
3 Cl 0.0000 0.5000 0.5000  4 Fe 2.40
4 Cl 0.5000 0.5000 0.0000  4 Be 2.40

Material: BeFeCl2
Method: DFT, PBE
State: optimized geometry

Results
- DFT total energy: -62.32 eV per cell

abc: 5.0998 5.0998 9.5699
angles: 90.00 90.00 90.00
Last column: nearest neighbours and their distance in Å.
Element x y z (fractional)
1 Be 0.0000 0.0000 0.0000  4 Cl 2.05
2 Be 0.0000 0.5000 0.2500  4 Cl 2.05
3 Be 0.5000 0.0000 0.7500  4 Cl 2.05
4 Be 0.5000 0.5000 0.5000  4 Cl 2.05
5 Fe 0.0000 0.0000 0.5000  4 Cl 2.29
6 Fe 0.0000 0.5000 0.7500  4 Cl 2.29
7 Fe 0.5000 0.0000 0.2500  4 Cl 2.29
8 Fe 0.5000 0.5000 0.0000  4 Cl 2.29
9 Cl 0.2109 0.2500 0.1250  2 Be 2.05, 2 Fe 2.29
10 Cl 0.2500 0.7109 0.3750  2 Be 2.05, 2 Fe 2.29
11 Cl 0.2500 0.7891 0.8750  2 Be 2.05, 2 Fe 2.29
12 Cl 0.2891 0.2500 0.6250  2 Be 2.05, 2 Fe 2.29
13 Cl 0.7109 0.7500 0.6250  2 Be 2.05, 2 Fe 2.29
14 Cl 0.7500 0.2109 0.8750  2 Be 2.05, 2 Fe 2.29
15 Cl 0.7500 0.2891 0.3750  2 Be 2.05, 2 Fe 2.29
16 Cl 0.7891 0.7500 0.1250  2 Be 2.05, 2 Fe 2.29

Material: Be2FeCl
Method: DFT, PBE
State: optimized geometry

Results
- DFT total energy: -15.12 eV per cell

abc: 2.6872 3.8228 5.1247
angles: 90.00 90.00 90.00
Last column: nearest neighbours and their distance in Å.
Element x y z (fractional)
1 Be 0.0000 0.0000 0.0000  4 Be 2.34
2 Be 0.5000 0.5000 0.0000  4 Be 2.34
3 Fe 0.0000 0.5000 0.5000  4 Cl 2.34
4 Cl 0.5000 0.0000 0.5000  4 Fe 2.34

Material: BeFeCl2
Method: DFT, PBE
State: optimized geometry

Results
- DFT total energy: -14.27 eV per cell

abc: 3.0168 3.0168 8.8844
angles: 90.00 90.00 90.00
Last column: nearest neighbours and their distance in Å.
Element x y z (fractional)
1 Be 0.0000 0.0000 0.0000  4 Be 3.02
2 Fe 0.0000 0.0000 0.5000  8 Cl 2.62
3 Cl 0.5000 0.5000 0.3289  4 Fe 2.62
4 Cl 0.5000 0.5000 0.6711  4 Fe 2.62

Material: Be2FeCl
Method: DFT, PBE
State: optimized geometry

Results
- DFT total energy: -16.65 eV per cell

abc: 2.7915 2.7915 7.6053
angles: 90.00 90.00 90.00
Last column: nearest neighbours and their distance in Å.
Element x y z (fractional)
1 Be 0.0000 0.0000 0.0000  4 Be 2.18
2 Be 0.5000 0.5000 0.1211  4 Be 2.18
3 Fe 0.5000 0.5000 0.8001  5 Be 2.44-2.49, 4 Cl 2.50
4 Cl 0.0000 0.0000 0.5991  4 Fe 2.50, 4 Cl 2.79

Material: Be2FeCl
Method: DFT, PBE
State: optimized geometry

Results
- DFT total energy: -57.16 eV per cell

abc: 5.6328 5.6328 5.6328
angles: 90.00 90.00 90.00
Last column: nearest neighbours and their distance in Å.
Element x y z (fractional)
1 Be 0.0000 0.0000 0.0000  4 Fe 2.44, 4 Be 2.44
2 Be 0.0000 0.5000 0.5000  4 Fe 2.44, 4 Be 2.44
3 Be 0.2500 0.2500 0.2500  4 Cl 2.44, 4 Be 2.44
4 Be 0.2500 0.7500 0.7500  4 Cl 2.44, 4 Be 2.44
5 Be 0.5000 0.0000 0.5000  4 Fe 2.44, 4 Be 2.44
6 Be 0.5000 0.5000 0.0000  4 Fe 2.44, 4 Be 2.44
7 Be 0.7500 0.2500 0.7500  4 Cl 2.44, 4 Be 2.44
8 Be 0.7500 0.7500 0.2500  4 Cl 2.44, 4 Be 2.44
9 Fe 0.2500 0.2500 0.7500  4 Cl 2.44, 4 Be 2.44
10 Fe 0.2500 0.7500 0.2500  4 Cl 2.44, 4 Be 2.44
11 Fe 0.7500 0.2500 0.2500  4 Cl 2.44, 4 Be 2.44
12 Fe 0.7500 0.7500 0.7500  4 Cl 2.44, 4 Be 2.44
13 Cl 0.0000 0.0000 0.5000  4 Fe 2.44, 4 Be 2.44
14 Cl 0.0000 0.5000 0.0000  4 Fe 2.44, 4 Be 2.44
15 Cl 0.5000 0.0000 0.0000  4 Fe 2.44, 4 Be 2.44
16 Cl 0.5000 0.5000 0.5000  4 Be 2.44, 4 Fe 2.44

Material: BeFeCl
Method: DFT, PBE
State: optimized geometry

Results
- DFT total energy: -26.19 eV per cell

abc: 2.8625 2.8625 11.5213
angles: 90.00 90.00 90.00
Last column: nearest neighbours and their distance in Å.
Element x y z (fractional)
1 Be 0.0000 0.0000 0.0000  4 Fe 2.36
2 Be 0.5000 0.5000 0.5000  4 Fe 2.36
3 Fe 0.0000 0.0000 0.3939  4 Be 2.36, 4 Cl 2.54
4 Fe 0.5000 0.5000 0.8939  4 Be 2.36, 4 Cl 2.54
5 Cl 0.0000 0.0000 0.7612  4 Fe 2.54, 1 Be 2.75
6 Cl 0.5000 0.5000 0.2612  4 Fe 2.54, 1 Be 2.75

Material: Be2FeCl
Method: DFT, PBE
State: optimized geometry

Results
- DFT total energy: -49.85 eV per cell

abc: 2.8418 2.8418 20.7561
angles: 90.00 90.00 120.00
Last column: nearest neighbours and their distance in Å.
Element x y z (fractional)
1 Be 0.0000 0.0000 0.2481  3 Fe 2.36, 3 Cl 2.41
2 Be 0.0000 0.0000 0.7519  3 Fe 2.36, 3 Cl 2.41
3 Be 0.3333 0.6667 0.4186  3 Fe 2.36, 3 Cl 2.41
4 Be 0.3333 0.6667 0.9148  3 Fe 2.36, 3 Cl 2.41
5 Be 0.6667 0.3333 0.0852  3 Fe 2.36, 3 Cl 2.41
6 Be 0.6667 0.3333 0.5814  3 Fe 2.36, 3 Cl 2.41
7 Fe 0.0000 0.0000 0.5000  6 Be 2.36
8 Fe 0.3333 0.6667 0.1667  6 Be 2.36
9 Fe 0.6667 0.3333 0.8333  6 Be 2.36
10 Cl 0.0000 0.0000 0.0000  6 Be 2.41
11 Cl 0.3333 0.6667 0.6667  6 Be 2.41
12 Cl 0.6667 0.3333 0.3333  6 Be 2.41

Material: BeFeCl2
Method: DFT, PBE
State: optimized geometry

Results
- DFT total energy: -16.73 eV per cell

abc: 3.0819 2.9678 8.2739
angles: 90.00 100.22 90.00
Last column: nearest neighbours and their distance in Å.
Element x y z (fractional)
1 Be 0.0000 0.0000 0.0000  2 Cl 2.01
2 Fe 0.5976 0.5000 0.2112  4 Cl 2.54-2.55, 4 Be 2.74-2.75
3 Cl 0.1785 0.0000 0.3805  4 Fe 2.54-2.55
4 Cl 0.9185 0.5000 0.8331  2 Be 2.01

Material: Be2FeCl
Method: DFT, PBE
State: optimized geometry

Results
- DFT total energy: -30.94 eV per cell

abc: 2.7175 4.7203 7.7047
angles: 90.00 90.00 90.00
Last column: nearest neighbours and their distance in Å.
Element x y z (fractional)
1 Be 0.0000 0.0000 0.0000  2 Cl 2.31, 2 Be 2.33
2 Be 0.0000 0.5000 0.2550  2 Be 2.33, 2 Fe 2.39
3 Be 0.5000 0.0000 0.7550  2 Be 2.33, 2 Fe 2.39
4 Be 0.5000 0.5000 0.5000  2 Cl 2.31, 2 Be 2.33
5 Fe 0.0000 0.0000 0.5002  2 Be 2.39, 2 Cl 2.40
6 Fe 0.5000 0.5000 0.0002  2 Be 2.39, 2 Cl 2.40
7 Cl 0.0000 0.5000 0.7432  2 Be 2.31, 2 Fe 2.40
8 Cl 0.5000 0.0000 0.2432  2 Be 2.31, 2 Fe 2.40

Material: BeFeCl2
Method: DFT, PBE
State: optimized geometry

Results
- DFT total energy: -33.68 eV per cell

abc: 3.0242 5.9946 8.6477
angles: 90.00 90.00 90.00
Last column: nearest neighbours and their distance in Å.
Element x y z (fractional)
1 Be 0.0000 0.0000 0.0000  2 Cl 2.01
2 Be 0.5000 0.5000 0.0000  2 Cl 2.01
3 Fe 0.0000 0.5000 0.2207  2 Cl 2.28, 2 Be 2.44
4 Fe 0.5000 0.0000 0.2207  2 Cl 2.28, 2 Be 2.44
5 Cl 0.0000 0.0000 0.4187  2 Fe 2.28
6 Cl 0.0000 0.5000 0.8464  2 Be 2.01
7 Cl 0.5000 0.0000 0.8464  2 Be 2.01
8 Cl 0.5000 0.5000 0.4187  2 Fe 2.28

Material: BeFeCl
Method: DFT, PBE
State: optimized geometry

Results
- DFT total energy: -52.80 eV per cell

abc: 2.8701 5.2301 11.2811
angles: 90.00 90.00 90.00
Last column: nearest neighbours and their distance in Å.
Element x y z (fractional)
1 Be 0.0000 0.0000 0.0000  2 Cl 2.10, 2 Fe 2.28
2 Be 0.0000 0.5000 0.5000  2 Cl 2.10, 2 Fe 2.28
3 Be 0.5000 0.0000 0.5000  2 Cl 2.10, 2 Fe 2.28
4 Be 0.5000 0.5000 0.0000  2 Cl 2.10, 2 Fe 2.28
5 Fe 0.0000 0.0000 0.6573  2 Be 2.28
6 Fe 0.0000 0.5000 0.1573  2 Be 2.28
7 Fe 0.5000 0.0000 0.1573  2 Be 2.28
8 Fe 0.5000 0.5000 0.6573  2 Be 2.28
9 Cl 0.0000 0.0000 0.3639  2 Be 2.10
10 Cl 0.0000 0.5000 0.8639  2 Be 2.10
11 Cl 0.5000 0.0000 0.8639  2 Be 2.10
12 Cl 0.5000 0.5000 0.3639  2 Be 2.10

| no. | formation energy from raw total energies (meV per atom) |
| --- | --- |
| 1 | 339 |
| 2 | 76 |
| 3 | 660 |
| 4 | 404 |
| 5 | 277 |
| 6 | 868 |
| 7 | 314 |
| 8 | 286 |
| 9 | -213 |
| 10 | 573 |
| 11 | -239 |
| 12 | 278 |